(1)
Material: BaEuCdBi
Method: DFT, PBE-GGA
State: optimized geometry

Cell lengths 8.326, 8.326, 8.326 Å; angles 90.00, 90.00, 90.00 degrees
Space group F-43m (No. 216)
Asymmetric unit:
Ba  0.000  0.000  0.000 x4
Eu  0.000  0.000  0.500 x4
Cd  0.250  0.250  0.250 x4
Bi  0.250  0.250  0.750 x4

Values from the calculation:
The value obtained for the formation enthalpy at 0 K is -0.582 eV/atom. The value obtained for the volume is 577 Å³/cell. The calculation puts the electronic total energy at -0.1775 hartree per atom. The theoretical density is 7.03 g cm⁻³. The total magnetization is 29.96 μB/cell.

---

(2)
Material: CuSbPd2
Method: DFT, PBE-GGA
State: optimized geometry

Cell lengths 3.037, 4.525, 10.396 Å; angles 90.00, 90.00, 90.00 degrees
Space group Immm (No. 71)
Asymmetric unit:
Cu  0.000  0.000  0.000 x2
Sb  0.000  0.000  0.500 x2
Pd  0.000  0.000  0.245 x4

Values from the calculation:
The value obtained for the volume is 143 Å³/cell. The calculation puts the electronic total energy at -0.1680 hartree per atom. The theoretical density is 9.25 g cm⁻³. The total magnetization is 0.00 μB/cell.